This record from Alexandria describes a geometry-optimized BaZn2W structure. The functional is PBE-GGA.

Energy relative to the lowest polymorph listed for this composition, eV/f.u.: 1.27
Total energy, eV per atom: -3.564
Energy relative to the elements, meV/atom: 792
DOS(E_F), states/eV/f.u.: 1.70

Geometry as POSCAR:
```
BaZn2W
1.0
-2.523 -4.644 -0.473
1.238 -0.427 5.142
-2.545 1.308 0.723
Ba W Zn
1 1 2
Cartesian
-2.534 -1.668 0.125
-0.653 0.440 2.932
0.000 0.000 0.000
-0.642 -2.536 2.335
```